[1]
Entry from Alexandria: a crystal of ZnRh2W relaxed with PBEsol (SCAN).

Calculated values
As for the magnetization: 0.00 μB per formula unit. For the formation energy, the calculation gives -33.5 kJ per mole of atoms. The density of states at the Fermi level is 2.018 states/eV/cell. The value obtained for the total energy is -38.0334 eV per atom. Its symmetry is P4/mmm, No. 123.

Lattice parameters (Å, degrees): 2.797 2.797 7.049 90.00 90.00 90.00
Fractional positions:
Zn 0.000 0.000 0.000
Rh 0.500 0.500 0.243
Rh 0.500 0.500 0.757
W 0.000 0.000 0.500

[2]
Entry from Alexandria: a crystal of ZnRh2W relaxed with PBEsol (SCAN).

Calculated values
As for the magnetization: 0.00 μB per formula unit. For the formation energy, the calculation gives -26.6 kJ per mole of atoms. The density of states at the Fermi level is 2.019 states/eV/cell. The value obtained for the total energy is -37.9619 eV per atom. Its symmetry is Pmmm, No. 47.

Lattice parameters (Å, degrees): 2.769 3.604 5.565 90.00 90.00 90.00
Fractional positions:
Zn 0.000 0.000 0.000
Rh 0.500 0.500 0.248
Rh 0.500 0.500 0.752
W 0.000 0.000 0.500

[3]
Entry from Alexandria: a crystal of ZnRhW2 relaxed with PBEsol (SCAN).

Calculated values
As for the magnetization: 0.00 μB per formula unit. For the formation energy, the calculation gives -0.4 kJ per mole of atoms. The density of states at the Fermi level is 1.595 states/eV/cell. The value obtained for the total energy is -46.6702 eV per atom. Its symmetry is P4mm, No. 99.

Lattice parameters (Å, degrees): 2.736 2.736 7.773 90.00 90.00 90.00
Fractional positions:
Zn 0.000 0.000 0.000
Rh 0.500 0.500 0.770
W 0.000 0.000 0.538
W 0.500 0.500 0.255

[4]
Entry from Alexandria: a crystal of ZrRhW2 relaxed with PBEsol (SCAN).

Calculated values
As for the magnetization: 0.00 μB per formula unit. As for the energy above the most stable polymorph in this dataset: 152 meV/atom. For the formation energy, the calculation gives 10.0 kJ per mole of atoms. The density of states at the Fermi level is 2.279 states/eV/cell. The value obtained for the total energy is -50.8575 eV per atom. Its symmetry is Cm, No. 8.

Lattice parameters (Å, degrees): 4.920 4.920 5.102 99.05 99.05 32.73
Fractional positions:
Zr 0.000 0.000 0.000
Rh 0.748 0.748 0.182
W 0.220 0.220 0.676
W 0.462 0.462 0.487

[5]
Entry from Alexandria: a crystal of ZrRhW2 relaxed with PBEsol (SCAN).

Calculated values
As for the magnetization: 0.00 μB per formula unit. As for the energy above the most stable polymorph in this dataset: 62 meV/atom. For the formation energy, the calculation gives 1.4 kJ per mole of atoms. The density of states at the Fermi level is 2.640 states/eV/cell. The value obtained for the total energy is -50.9470 eV per atom. Its symmetry is P4mm, No. 99.

Lattice parameters (Å, degrees): 2.771 2.771 8.517 90.00 90.00 90.00
Fractional positions:
Zr 0.000 0.000 0.000
Rh 0.500 0.500 0.250
W 0.000 0.000 0.459
W 0.500 0.500 0.718

[6]
Entry from Alexandria: a crystal of ZrRhW2 relaxed with PBEsol (SCAN).

Calculated values
As for the magnetization: 0.00 μB per formula unit. As for the energy above the most stable polymorph in this dataset: 0 meV/atom. For the formation energy, the calculation gives -4.6 kJ per mole of atoms. The density of states at the Fermi level is 3.156 states/eV/cell. The value obtained for the total energy is -51.0091 eV per atom. Its symmetry is Immm, No. 71.

Lattice parameters (Å, degrees): 5.325 5.325 5.325 143.77 132.10 61.51
Fractional positions:
Zr 0.000 0.000 0.000
Rh 0.500 0.500 0.000
W 0.248 0.748 0.500
W 0.752 0.252 0.500

[7]
Entry from Alexandria: a crystal of ZrRhW2 relaxed with PBEsol (SCAN).

Calculated values
As for the magnetization: 0.00 μB per formula unit. As for the energy above the most stable polymorph in this dataset: 28 meV/atom. For the formation energy, the calculation gives -1.9 kJ per mole of atoms. The density of states at the Fermi level is 3.552 states/eV/cell. The value obtained for the total energy is -50.9812 eV per atom. Its symmetry is Cmm2, No. 35.

Lattice parameters (Å, degrees): 2.775 2.775 8.770 90.00 90.00 106.38
Fractional positions:
Zr 0.000 0.000 0.000
Rh 0.500 0.500 0.747
W 0.000 0.000 0.519
W 0.500 0.500 0.273

[8]
Entry from Alexandria: a crystal of ZrRhW relaxed with PBEsol (SCAN).

Calculated values
As for the magnetization: 0.00 μB per formula unit. For the formation energy, the calculation gives -4.7 kJ per mole of atoms. The density of states at the Fermi level is 2.797 states/eV/cell. The value obtained for the total energy is -44.7686 eV per atom. Its symmetry is I4mm, No. 107.

Lattice parameters (Å, degrees): 5.307 5.307 5.307 144.42 144.42 51.20
Fractional positions:
Zr 0.000 0.000 0.000
Rh 0.673 0.673 0.000
W 0.323 0.323 0.000

[9]
Entry from Alexandria: a crystal of Y5Rh relaxed with PBEsol (SCAN).

Calculated values
As for the magnetization: 0.00 μB per formula unit. For the formation energy, the calculation gives 76.1 kJ per mole of atoms. The density of states at the Fermi level is 7.758 states/eV/cell. The value obtained for the total energy is -28.0418 eV per atom. Its symmetry is P6/mmm, No. 191.

Lattice parameters (Å, degrees): 5.884 5.884 5.817 90.00 90.00 120.00
Fractional positions:
Y 0.000 0.500 0.000
Y 0.333 0.667 0.500
Y 0.500 0.000 0.000
Y 0.500 0.500 0.000
Y 0.667 0.333 0.500
Rh 0.000 0.000 0.500

[10]
Entry from Alexandria: a crystal of YRh2 relaxed with PBEsol (SCAN).

Calculated values
As for the magnetization: 0.00 μB per formula unit. For the formation energy, the calculation gives 5.8 kJ per mole of atoms. The density of states at the Fermi level is 1.503 states/eV/cell. The value obtained for the total energy is -31.7355 eV per atom. Its symmetry is Fm-3m, No. 225.

Lattice parameters (Å, degrees): 4.361 4.361 4.361 60.00 60.00 60.00
Fractional positions:
Y 0.000 0.000 0.000
Rh 0.250 0.250 0.250
Rh 0.750 0.750 0.750

[11]
Entry from Alexandria: a crystal of YRh relaxed with PBEsol (SCAN).

Calculated values
As for the magnetization: 0.00 μB per formula unit. For the formation energy, the calculation gives -56.7 kJ per mole of atoms. The density of states at the Fermi level is 0.494 states/eV/cell. The value obtained for the total energy is -31.3949 eV per atom. Its symmetry is P-6m2, No. 187.

Lattice parameters (Å, degrees): 3.804 3.804 3.462 90.00 90.00 120.00
Fractional positions:
Y 0.000 0.000 0.000
Rh 0.333 0.667 0.500

[12]
Entry from Alexandria: a crystal of Y5Rh3 relaxed with PBEsol (SCAN).

Calculated values
As for the magnetization: 0.00 μB per formula unit. As for the energy above the most stable polymorph in this dataset: 46 meV/atom. For the formation energy, the calculation gives -77.4 kJ per mole of atoms. The density of states at the Fermi level is 12.599 states/eV/cell. The value obtained for the total energy is -30.8682 eV per atom. Its symmetry is P6_3/mcm, No. 193.

Lattice parameters (Å, degrees): 8.151 8.151 6.206 90.00 90.00 120.00
Fractional positions:
Y 0.000 0.249 0.250
Y 0.000 0.751 0.750
Y 0.249 0.000 0.250
Y 0.249 0.249 0.750
Y 0.333 0.667 0.000
Y 0.333 0.667 0.500
Y 0.667 0.333 0.000
Y 0.667 0.333 0.500
Y 0.751 0.000 0.750
Y 0.751 0.751 0.250
Rh 0.000 0.399 0.750
Rh 0.000 0.601 0.250
Rh 0.399 0.000 0.750
Rh 0.399 0.399 0.250
Rh 0.601 0.000 0.250
Rh 0.601 0.601 0.750